Entry 1:
This record from Alexandria via LeMat-Bulk describes crystalline CsRb2Te7 at its relaxed geometry. The functional is PBE-GGA.

Lattice parameters (Å, degrees): 10.834 10.834 6.816 96.05 96.05 141.19
Fractional coordinates of all 10 atoms:
Cs1 0.000 0.000 0.000
Rb1 0.268 0.732 0.500
Rb2 0.732 0.268 0.500
Te1 0.129 0.326 0.633
Te2 0.326 0.129 0.633
Te3 0.342 0.658 0.000
Te4 0.500 0.500 0.500
Te5 0.658 0.342 0.000
Te6 0.674 0.871 0.367
Te7 0.871 0.674 0.367

Summary:
Electronic total energy: -0.21448 Ry per atom
Space-group type: No. 12
Volume: 476 Å³ per cell
Spin magnetization: 0.00 μB per cell

Entry 2:
This record from Alexandria via LeMat-Bulk describes crystalline K2InPbBr5 at its relaxed geometry. The functional is PBE-GGA.

Lattice parameters (Å, degrees): 9.843 9.843 16.875 90.00 90.00 153.36
Fractional coordinates of all 18 atoms:
K1 0.056 0.944 0.500
K2 0.150 0.850 0.096
K3 0.850 0.150 0.596
K4 0.944 0.056 0.000
In1 0.445 0.555 0.277
In2 0.555 0.445 0.777
Pb1 0.258 0.742 0.872
Pb2 0.742 0.258 0.372
Br1 0.099 0.901 0.902
Br2 0.235 0.765 0.503
Br3 0.258 0.742 0.252
Br4 0.413 0.587 0.863
Br5 0.474 0.526 0.607
Br6 0.526 0.474 0.107
Br7 0.587 0.413 0.363
Br8 0.742 0.258 0.752
Br9 0.765 0.235 0.003
Br10 0.901 0.099 0.402

Summary:
Electronic total energy: -0.22782 Ry per atom
Space-group type: No. 36
Volume: 733 Å³ per cell
Spin magnetization: 0.00 μB per cell